DFT (GGA-PBE) results for a geometry-optimized K4Y3HoTe8 structure.

Properties
electronic total energy	-0.1746	Ha/atom
formation energy from raw total energies	-1.407	eV per atom
V	36.05	Å³/atom

a = 8.9877 Å, b = 9.7419 Å, c = 8.9883 Å
α = 117.47°, β = 120.00°, γ = 90.00°
Element x y z (fractional)
K (0.5000, 0.0000, 0.0000)
K (0.5000, 0.0000, 0.5000)
K (0.0000, 0.0000, 0.0000)
K (0.0000, 0.0000, 0.5000)
Y (0.5000, 0.5000, 0.0000)
Y (0.5000, 0.5000, 0.5000)
Y (0.0000, 0.5000, 0.5000)
Ho (0.0000, 0.5000, 0.0000)
Te (0.2355, 0.7083, 0.9728)
Te (0.2355, 0.7083, 0.4710)
Te (0.2637, 0.2911, 0.5274)
Te (0.7373, 0.7083, 0.9728)
Te (0.2627, 0.2917, 0.0272)
Te (0.7363, 0.7089, 0.4726)
Te (0.7645, 0.2917, 0.5290)
Te (0.7645, 0.2917, 0.0272)



DFT (GGA-PBE) results for a geometry-optimized AcMgAlAu3 structure.

Properties
DOS at the Fermi energy	6.645	states/eV per cell
electronic total energy	-0.1361	Ha/atom
V	24.06	Å³/atom
ΔH_f (0 K)	-491	meV per atom

a = 6.5634 Å, b = 6.9716 Å, c = 7.2086 Å
α = 118.92°, β = 90.00°, γ = 90.00°
Element x y z (fractional)
Ac (0.7500, 0.2936, 0.5871)
Ac (0.2500, 0.7064, 0.4129)
Mg (0.2500, 0.9788, 0.9576)
Mg (0.7500, 0.0212, 0.0424)
Al (0.2500, 0.3877, 0.7754)
Al (0.7500, 0.6123, 0.2246)
Au (0.2500, 0.1917, 0.3834)
Au (0.0000, 0.2947, 0.0000)
Au (0.5000, 0.7054, 0.0000)
Au (0.5000, 0.2947, 0.0000)
Au (0.0000, 0.7054, 0.0000)
Au (0.7500, 0.8083, 0.6166)



DFT (GGA-PBE) results for a geometry-optimized TaAl2OsRu structure.

Properties
DOS at the Fermi energy	6.309	states/eV per cell
ΔE to the lowest computed polymorph	0.00	eV/f.u.
electronic total energy	-0.2607	Ha/atom
V	20.30	Å³/atom
ΔH_f (0 K)	874	meV per atom

a = 4.5645 Å, b = 4.8710 Å, c = 4.5645 Å
α = 90.00°, β = 90.00°, γ = 90.00°
Element x y z (fractional)
Ru (0.5000, 0.5000, 0.5000)
Os (0.0000, 0.0000, 0.0000)
Al (0.0000, 0.0000, 0.5000)
Al (0.5000, 0.0000, 0.0000)
Ta (0.0000, 0.5000, 0.0000)



DFT (GGA-PBE) results for a geometry-optimized TlWBr2 structure.

Properties
DOS at the Fermi energy	7.554	states/eV per cell
ΔE to the lowest computed polymorph	0.83	eV/f.u.
electronic total energy	-0.1547	Ha/atom
formation energy from raw total energies	0.458	eV per atom
V	28.29	Å³/atom

a = 8.8363 Å, b = 8.8363 Å, c = 6.8880 Å
α = 50.10°, β = 50.10°, γ = 90.00°
Element x y z (fractional)
Tl (0.0000, 0.0000, 0.0000)
Tl (0.7500, 0.2500, 0.5000)
Br (0.4927, 0.1250, 0.2500)
Br (0.2573, 0.6250, 0.2500)
Br (0.3750, 0.5073, 0.7500)
Br (0.8750, 0.7427, 0.7500)
W (0.5000, 0.5000, 0.0000)
W (0.2500, 0.7500, 0.5000)



DFT (GGA-PBE) results for a geometry-optimized ZnWAu2 structure.

Properties
DOS at the Fermi energy	3.562	states/eV per cell
electronic total energy	-0.1758	Ha/atom
V	16.73	Å³/atom
ΔH_f (0 K)	412	meV per atom

a = 5.6088 Å, b = 5.6088 Å, c = 5.6088 Å
α = 151.10°, β = 127.72°, γ = 60.84°
Element x y z (fractional)
Au (0.0079, 0.0079, 0.0000)
Au (0.4921, 0.4921, 0.0000)
W (0.7500, 0.2500, 0.5000)
Zn (0.2500, 0.7500, 0.5000)



DFT (GGA-PBE) results for a geometry-optimized Ba2LaPt structure.

Properties
DOS at the Fermi energy	4.912	states/eV per cell
ΔE to the lowest computed polymorph	1.38	eV/f.u.
electronic total energy	-0.1446	Ha/atom
V	39.21	Å³/atom
ΔH_f (0 K)	-232	meV per atom

a = 3.8852 Å, b = 3.8851 Å, c = 10.3900 Å
α = 90.00°, β = 90.00°, γ = 90.04°
Element x y z (fractional)
Ba (0.0000, 0.0000, 0.9273)
Ba (0.0000, 0.0000, 0.5727)
Pt (0.5000, 0.5000, 0.7500)
La (0.5000, 0.5000, 0.2500)